No. 1
Material: MnMoN2
Method: DFT, SCAN
State: PBEsol geometry

Cell: 2.8186 2.8186 10.4956 Å, 90.00 90.00 120.00°
Closest atoms and distances in Å follow each position.
Element x y z (fractional)
1 Mo 0.0000 0.0000 0.2500  6 N 2.12
2 Mo 0.0000 0.0000 0.7500  6 N 2.12
3 Mn 0.0000 0.0000 0.0000  6 N 2.06
4 Mn 0.0000 0.0000 0.5000  6 N 2.06
5 N 0.3333 0.6667 0.1201  3 Mn 2.06, 3 Mo 2.12
6 N 0.6667 0.3333 0.6201  3 Mn 2.06, 3 Mo 2.12
7 N 0.3333 0.6667 0.3799  3 Mn 2.06, 3 Mo 2.12
8 N 0.6667 0.3333 0.8799  3 Mn 2.06, 3 Mo 2.12

Energy in eV per atom: -18.492
Uncorrected formation energy in eV per atom: -0.562
Crystal system: hexagonal
Space group: P6_3/mmc, No. 194
Spin magnetization in μB/f.u.: 2.65


No. 2
Material: HgPtPb
Method: DFT, SCAN
State: PBEsol geometry

Cell: 4.6125 4.6125 4.6125 Å, 60.00 60.00 60.00°
Closest atoms and distances in Å follow each position.
Element x y z (fractional)
1 Pb 0.5000 0.5000 0.5000  4 Pt 2.82
2 Hg 0.0000 0.0000 0.0000  4 Pt 2.82
3 Pt 0.2500 0.2500 0.2500  4 Pb 2.82, 4 Hg 2.82

Energy in eV per atom: -71.488
Formation energy from the elements in eV per atom: -0.11
Crystal system: cubic
Space group: F-43m, No. 216
Spin magnetization in μB/f.u.: 0.00
Excess energy over the best structure of this formula in the dataset in meV per atom: 0